A plane-wave DFT calculation with PBE-GGA was carried out for an optimized crystal structure of RbPt3.

Output
The value obtained for the offset from the most stable computed form is 576 meV per atom. The value obtained for the density of states at the Fermi level is 6.30 states/eV/f.u. For the energy, the calculation gives -4.3395 eV/atom. As for the space group: P-6m2 (187).

a b c (Å): 2.902 2.902 10.337
angles (deg): 90.00 90.00 120.00
Positions (direct):
Rb 0.000 0.000 0.000
Pt 0.000 0.000 0.500
Pt 0.333 0.667 0.279
Pt 0.333 0.667 0.721

***

A plane-wave DFT calculation with PBE-GGA was carried out for an optimized crystal structure of Rb3Pt.

Output
The value obtained for the density of states at the Fermi level is 3.77 states/eV/f.u. For the energy, the calculation gives -2.0167 eV/atom. As for the space group: Pm-3n (223).

a b c (Å): 6.869 6.869 6.869
angles (deg): 90.00 90.00 90.00
Positions (direct):
Rb 0.000 0.250 0.500
Rb 0.000 0.750 0.500
Rb 0.250 0.500 0.000
Rb 0.500 0.000 0.250
Rb 0.500 0.000 0.750
Rb 0.750 0.500 0.000
Pt 0.000 0.000 0.000
Pt 0.500 0.500 0.500

***

A plane-wave DFT calculation with PBE-GGA was carried out for an optimized crystal structure of RbPt6.

Output
The value obtained for the density of states at the Fermi level is 8.76 states/eV/f.u. For the energy, the calculation gives -4.9509 eV/atom. As for the space group: Im-3m (229).

a b c (Å): 6.166 6.166 6.166
angles (deg): 109.47 109.47 109.47
Positions (direct):
Rb 0.000 0.000 0.000
Pt 0.250 0.500 0.750
Pt 0.250 0.750 0.500
Pt 0.500 0.250 0.750
Pt 0.500 0.750 0.250
Pt 0.750 0.250 0.500
Pt 0.750 0.500 0.250

***

A plane-wave DFT calculation with PBE-GGA was carried out for an optimized crystal structure of Rb3Pt.

Output
The value obtained for the density of states at the Fermi level is 2.92 states/eV/f.u. For the energy, the calculation gives -2.1438 eV/atom. As for the space group: P2/m (10).

a b c (Å): 6.553 4.852 8.738
angles (deg): 90.00 111.75 90.00
Positions (direct):
Rb 0.000 0.000 0.000
Rb 0.365 0.500 0.729
Rb 0.635 0.500 0.271
Pt 0.500 0.000 0.000

***

A plane-wave DFT calculation with PBE-GGA was carried out for an optimized crystal structure of Rb3Pt.

Output
The value obtained for the density of states at the Fermi level is 3.08 states/eV/f.u. For the energy, the calculation gives -2.1308 eV/atom. As for the space group: Pm-3m (221).

a b c (Å): 6.550 6.550 6.550
angles (deg): 90.00 90.00 90.00
Positions (direct):
Rb 0.000 0.000 0.500
Rb 0.000 0.500 0.000
Rb 0.500 0.000 0.000
Pt 0.000 0.000 0.000

***

A plane-wave DFT calculation with PBE-GGA was carried out for an optimized crystal structure of RbPt3.

Output
The value obtained for the offset from the most stable computed form is 1148 meV per atom. The value obtained for the density of states at the Fermi level is 9.54 states/eV/f.u. For the energy, the calculation gives -3.7681 eV/atom. As for the space group: Pm-3n (223).

a b c (Å): 5.474 5.474 5.474
angles (deg): 90.00 90.00 90.00
Positions (direct):
Rb 0.000 0.000 0.000
Rb 0.500 0.500 0.500
Pt 0.000 0.250 0.500
Pt 0.000 0.750 0.500
Pt 0.250 0.500 0.000
Pt 0.500 0.000 0.250
Pt 0.500 0.000 0.750
Pt 0.750 0.500 0.000

***

Q: Which of these has the lowest energy?
A: RbPt6

***

Q: Which of these has the lowest energy?
A: RbPt6